(1)
Here is an optimized crystal structure of Er3HgH from Alexandria. Energies are from GGA-PBE.

POSCAR file:
```
Er3HgH
1.0
4.771 0.000 0.000
0.000 4.771 0.000
0.000 0.000 4.771
H Hg Er
1 1 3
Cartesian
0.000 0.000 0.000
2.385 2.385 2.385
0.000 2.385 0.000
0.000 0.000 2.385
2.385 0.000 0.000
```

Output
Crystal system = cubic
Total moment = 1.63 μB/f.u.
V = 109 Å³/f.u.
Polymorph energy (0 for the lowest one) = 39 meV/atom

***

(2)
Here is an optimized crystal structure of Er2HgH from Alexandria. Energies are from GGA-PBE.

POSCAR file:
```
Er2HgH
1.0
-3.568 -0.145 0.479
-1.928 -2.592 -1.595
-0.854 -5.301 5.576
H Hg Er
1 1 2
Cartesian
-3.175 -4.019 2.230
0.000 0.000 0.000
-4.830 -5.721 2.929
-1.519 -2.317 1.531
```

Output
Crystal system = trigonal
Total moment = 0.00 μB/f.u.
V = 84 Å³/f.u.
Polymorph energy (0 for the lowest one) = 109 meV/atom

***

(3)
Here is an optimized crystal structure of Er3HgH from Alexandria. Energies are from GGA-PBE.

POSCAR file:
```
Er3HgH
1.0
3.531 0.000 0.000
0.000 6.602 -0.022
0.000 -1.560 9.774
Er Hg H
6 2 2
Cartesian
2.648 3.400 3.581
0.883 1.641 6.171
2.648 0.096 8.904
0.883 5.062 6.219
0.883 4.945 0.848
2.648 -0.020 3.534
0.883 1.694 1.651
2.648 3.348 8.101
0.883 4.960 3.132
2.648 0.082 6.620
```

Output
Crystal system = monoclinic
Total moment = 0.00 μB/f.u.
V = 114 Å³/f.u.
Polymorph energy (0 for the lowest one) = 0 meV/atom

***

(4)
Here is an optimized crystal structure of Er4Hg2H from Alexandria. Energies are from GGA-PBE.

POSCAR file:
```
Er4Hg2H
1.0
-3.919 -2.230 1.133
2.493 -3.319 2.094
0.389 6.701 4.998
H Hg Er
1 2 4
Cartesian
0.000 0.000 0.000
-0.798 -1.739 3.357
-0.238 2.891 4.867
-0.920 -0.257 5.851
-0.116 1.409 2.372
1.247 -1.659 1.047
-1.960 -1.115 0.566
```

Output
Crystal system = tetragonal
Total moment = 0.00 μB/f.u.
V = 166 Å³/f.u.
VASP energy = -24.4 eV/cell